1.
{"formula": "YBe2Hg", "functional": "PBE-GGA", "state": "relaxed", "vol_a3_per_cell": 282.97, "total_energy_ev_per_atom": -3.360, "density_g_cm3": 7.22, "lattice_angstrom": [[6.565, 0.000, 0.000], [0.000, 6.565, 0.000], [0.000, 0.000, 6.565]], "species": ["Y", "Y", "Y", "Y", "Be", "Be", "Be", "Be", "Be", "Be", "Be", "Be", "Hg", "Hg", "Hg", "Hg"], "fractional_positions": [[0.000, 0.000, 0.000], [0.000, 0.500, 0.500], [0.500, 0.000, 0.500], [0.500, 0.500, 0.000], [0.000, 0.000, 0.500], [0.000, 0.500, 0.000], [0.250, 0.250, 0.250], [0.250, 0.750, 0.750], [0.500, 0.000, 0.000], [0.500, 0.500, 0.500], [0.750, 0.250, 0.750], [0.750, 0.750, 0.250], [0.250, 0.250, 0.750], [0.250, 0.750, 0.250], [0.750, 0.250, 0.250], [0.750, 0.750, 0.750]]}

2.
{"formula": "YBeHg", "functional": "PBE-GGA", "state": "relaxed", "vol_a3_per_cell": 255.55, "de_polymorph_mev_per_atom": 0.0, "density_g_cm3": 7.76, "lattice_angstrom": [[6.346, 0.000, 0.000], [0.000, 6.346, 0.000], [0.000, 0.000, 6.346]], "species": ["Y", "Y", "Y", "Y", "Be", "Be", "Be", "Be", "Hg", "Hg", "Hg", "Hg"], "fractional_positions": [[0.000, 0.000, 0.000], [0.000, 0.500, 0.500], [0.500, 0.000, 0.500], [0.500, 0.500, 0.000], [0.250, 0.250, 0.750], [0.250, 0.750, 0.250], [0.750, 0.250, 0.250], [0.750, 0.750, 0.750], [0.000, 0.000, 0.500], [0.000, 0.500, 0.000], [0.500, 0.000, 0.000], [0.500, 0.500, 0.500]]}

3.
{"formula": "YBeHg", "functional": "PBE-GGA", "state": "relaxed", "vol_a3_per_cell": 305.60, "de_polymorph_mev_per_atom": 532.5, "density_g_cm3": 6.49, "lattice_angstrom": [[6.736, 0.000, 0.000], [0.000, 6.736, 0.000], [0.000, 0.000, 6.736]], "species": ["Y", "Y", "Y", "Y", "Be", "Be", "Be", "Be", "Hg", "Hg", "Hg", "Hg"], "fractional_positions": [[0.000, 0.000, 0.000], [0.000, 0.500, 0.500], [0.500, 0.000, 0.500], [0.500, 0.500, 0.000], [0.250, 0.250, 0.750], [0.250, 0.750, 0.250], [0.750, 0.250, 0.250], [0.750, 0.750, 0.750], [0.250, 0.250, 0.250], [0.250, 0.750, 0.750], [0.750, 0.250, 0.750], [0.750, 0.750, 0.250]]}

4.
{"formula": "BeZnHg", "functional": "PBE-GGA", "state": "relaxed", "vol_a3_per_cell": 196.19, "total_energy_ev_per_atom": -1.502, "density_g_cm3": 9.31, "lattice_angstrom": [[5.811, 0.000, 0.000], [0.000, 5.811, 0.000], [0.000, 0.000, 5.811]], "species": ["Be", "Be", "Be", "Be", "Zn", "Zn", "Zn", "Zn", "Hg", "Hg", "Hg", "Hg"], "fractional_positions": [[0.000, 0.000, 0.000], [0.000, 0.500, 0.500], [0.500, 0.000, 0.500], [0.500, 0.500, 0.000], [0.250, 0.250, 0.250], [0.250, 0.750, 0.750], [0.750, 0.250, 0.750], [0.750, 0.750, 0.250], [0.250, 0.250, 0.750], [0.250, 0.750, 0.250], [0.750, 0.250, 0.250], [0.750, 0.750, 0.750]]}

5.
{"formula": "BeZnHg2", "functional": "PBE-GGA", "state": "relaxed", "vol_a3_per_cell": 300.07, "total_energy_ev_per_atom": -0.850, "density_g_cm3": 10.53, "lattice_angstrom": [[6.695, 0.000, 0.000], [0.000, 6.695, 0.000], [0.000, 0.000, 6.695]], "species": ["Be", "Be", "Be", "Be", "Zn", "Zn", "Zn", "Zn", "Hg", "Hg", "Hg", "Hg", "Hg", "Hg", "Hg", "Hg"], "fractional_positions": [[0.000, 0.000, 0.000], [0.000, 0.500, 0.500], [0.500, 0.000, 0.500], [0.500, 0.500, 0.000], [0.250, 0.250, 0.250], [0.250, 0.750, 0.750], [0.750, 0.250, 0.750], [0.750, 0.750, 0.250], [0.000, 0.000, 0.500], [0.000, 0.500, 0.000], [0.250, 0.250, 0.750], [0.250, 0.750, 0.250], [0.500, 0.000, 0.000], [0.500, 0.500, 0.500], [0.750, 0.250, 0.250], [0.750, 0.750, 0.750]]}

6.
{"formula": "Be2ZnHg", "functional": "PBE-GGA", "state": "relaxed", "vol_a3_per_cell": 222.75, "total_energy_ev_per_atom": -1.697, "density_g_cm3": 8.47, "lattice_angstrom": [[6.062, 0.000, 0.000], [0.000, 6.062, 0.000], [0.000, 0.000, 6.062]], "species": ["Be", "Be", "Be", "Be", "Be", "Be", "Be", "Be", "Zn", "Zn", "Zn", "Zn", "Hg", "Hg", "Hg", "Hg"], "fractional_positions": [[0.000, 0.000, 0.000], [0.000, 0.500, 0.500], [0.250, 0.250, 0.250], [0.250, 0.750, 0.750], [0.500, 0.000, 0.500], [0.500, 0.500, 0.000], [0.750, 0.250, 0.750], [0.750, 0.750, 0.250], [0.250, 0.250, 0.750], [0.250, 0.750, 0.250], [0.750, 0.250, 0.250], [0.750, 0.750, 0.750], [0.000, 0.000, 0.500], [0.000, 0.500, 0.000], [0.500, 0.000, 0.000], [0.500, 0.500, 0.500]]}

7.
{"formula": "Zr2Be2Hg", "functional": "PBE-GGA", "state": "relaxed", "vol_a3_per_cell": 164.10, "total_energy_ev_per_atom": -5.212, "density_g_cm3": 8.12, "lattice_angstrom": [[6.406, 0.000, 0.000], [0.000, 6.406, 0.000], [0.000, 0.000, 3.999]], "species": ["Zr", "Zr", "Zr", "Zr", "Be", "Be", "Be", "Be", "Hg", "Hg"], "fractional_positions": [[0.171, 0.329, 0.000], [0.329, 0.829, 0.000], [0.671, 0.171, 0.000], [0.829, 0.671, 0.000], [0.122, 0.622, 0.500], [0.378, 0.122, 0.500], [0.622, 0.878, 0.500], [0.878, 0.378, 0.500], [0.000, 0.000, 0.500], [0.500, 0.500, 0.500]]}

8.
{"formula": "ZrBe2Hg", "functional": "PBE-GGA", "state": "relaxed", "vol_a3_per_cell": 257.33, "total_energy_ev_per_atom": -3.757, "density_g_cm3": 8.00, "lattice_angstrom": [[6.361, 0.000, 0.000], [0.000, 6.361, 0.000], [0.000, 0.000, 6.361]], "species": ["Zr", "Zr", "Zr", "Zr", "Be", "Be", "Be", "Be", "Be", "Be", "Be", "Be", "Hg", "Hg", "Hg", "Hg"], "fractional_positions": [[0.000, 0.000, 0.000], [0.000, 0.500, 0.500], [0.500, 0.000, 0.500], [0.500, 0.500, 0.000], [0.000, 0.000, 0.500], [0.000, 0.500, 0.000], [0.250, 0.250, 0.750], [0.250, 0.750, 0.250], [0.500, 0.000, 0.000], [0.500, 0.500, 0.500], [0.750, 0.250, 0.250], [0.750, 0.750, 0.750], [0.250, 0.250, 0.250], [0.250, 0.750, 0.750], [0.750, 0.250, 0.750], [0.750, 0.750, 0.250]]}